[1]
The following is a DFT calculation (PBE) of an optimized crystal structure of Ta3SiSn.

```
Ta3SiSn
1.0
-1.292 2.019 -4.023
1.909 -3.545 -2.392
-4.077 -2.300 0.155
Si Sn Ta
1 1 3
Direct
0.000 0.000 0.000
0.500 0.500 0.500
0.500 0.000 0.000
0.000 0.500 0.000
0.000 0.000 0.500
```

- Space-group type: Pm-3m (221)
- Energy above the most stable polymorph in this dataset: 0 meV per atom

---

[2]
The following is a DFT calculation (PBE) of an optimized crystal structure of Mn2ReTc.

```
Mn2ReTc
1.0
4.082 0.000 0.000
0.000 2.614 -0.002
0.000 1.231 5.041
Mn Re Tc
2 1 1
Direct
0.000 0.003 0.000
0.000 0.497 0.500
0.500 0.250 0.250
0.500 0.750 0.750
```

- Space-group type: P2/m (10)
- Energy of formation: 0.11 eV per atom

---

[3]
The following is a DFT calculation (PBE) of an optimized crystal structure of LiMg2Os.

```
LiMg2Os
1.0
4.731 0.000 -0.011
3.971 2.573 -0.011
0.374 0.111 5.459
Os Li Mg
1 1 2
Direct
0.750 0.750 0.750
0.250 0.250 0.250
0.494 0.494 0.512
0.006 0.006 0.988
```

- Space-group type: C2/m (12)
- Energy of formation: 0.19 eV per atom

---

[4]
The following is a DFT calculation (PBE) of an optimized crystal structure of TbSm4Ho8.

```
TbSm4Ho8
1.0
-6.474 4.575 7.596
5.019 -9.539 2.088
6.162 2.345 -4.096
Ho Sm Tb
8 4 1
Direct
0.000 0.240 0.760
0.480 0.240 0.240
0.000 0.760 0.240
0.480 0.240 0.720
0.520 0.760 0.760
0.520 0.760 0.280
0.000 0.240 0.240
0.000 0.760 0.760
0.000 0.500 0.000
0.000 0.000 0.000
0.500 0.500 0.000
0.500 0.000 0.000
0.000 0.500 0.500
```

- Space-group type: Pm-3m (221)
- Energy of formation: 0.51 eV per atom

---

no.,VASP energy (eV per atom)
1,-8.264
2,-10.177
3,-3.889
4,-4.113